No. 1
# HfTaOs4 PBE-GGA optimized geometry
# Density of states at the Fermi level, states/eV per cell: 23.93
# Theoretical density, g/cm3: 18.85
# E_form, eV/f.u.: -0.91
# E, eV/f.u.: -67.64
data_HfTaOs4
_chemical_formula_sum 'Hf4 Ta4 Os16'
_cell_length_a 7.336
_cell_length_b 7.336
_cell_length_c 7.336
_cell_angle_alpha 90.00
_cell_angle_beta 90.00
_cell_angle_gamma 90.00
_space_group_name_H-M_alt 'F -4 3 m'
_space_group_IT_number 216
_space_group_name_Hall 'F -4 2 3'
loop_
_atom_site_label
_atom_site_fract_x
_atom_site_fract_y
_atom_site_fract_z
_atom_site_occupancy
Hf1 0.000 0.000 0.000 1
Ta1 0.250 0.250 0.250 1
Os1 0.125 0.125 0.625 1

---

No. 2
# DyTh2Pd PBE-GGA optimized geometry
# Density of states at the Fermi level, states/eV per cell: 5.22
# Energy above the lowest structure with this stoichiometry, meV/atom: 119
# Theoretical density, g/cm3: 10.81
# E_form, eV/f.u.: -1.09
# E, eV/f.u.: -25.73
data_DyTh2Pd
_chemical_formula_sum 'Dy1 Th2 Pd1'
_cell_length_a 3.670
_cell_length_b 3.670
_cell_length_c 8.361
_cell_angle_alpha 90.00
_cell_angle_beta 90.00
_cell_angle_gamma 90.00
_space_group_name_H-M_alt 'P 4/m m m'
_space_group_IT_number 123
_space_group_name_Hall '-P 4 2'
loop_
_atom_site_label
_atom_site_fract_x
_atom_site_fract_y
_atom_site_fract_z
_atom_site_occupancy
Dy1 0.000 0.000 0.000 1
Th1 0.500 0.500 0.290 1
Pd1 0.000 0.000 0.500 1

---

No. 3
# Pm6Rh2Pb3 PBE-GGA optimized geometry
# Density of states at the Fermi level, states/eV per cell: 7.41
# Theoretical density, g/cm3: 8.06
# E_form, eV/f.u.: -4.26
# E, eV/f.u.: -58.59
data_Pm6Rh2Pb3
_chemical_formula_sum 'Pm12 Rh4 Pb6'
_cell_length_a 5.004
_cell_length_b 5.004
_cell_length_c 27.916
_cell_angle_alpha 90.00
_cell_angle_beta 90.00
_cell_angle_gamma 90.00
_space_group_name_H-M_alt 'I 4/m m m'
_space_group_IT_number 139
_space_group_name_Hall '-I 4 2'
loop_
_atom_site_label
_atom_site_fract_x
_atom_site_fract_y
_atom_site_fract_z
_atom_site_occupancy
Pm1 0.000 0.000 0.215 1
Pm2 0.000 0.500 0.078 1
Rh1 0.000 0.000 0.119 1
Pb1 0.000 0.000 0.331 1
Pb2 0.000 0.000 0.500 1

---

No. 4
# ReNiP PBE-GGA optimized geometry
# Density of states at the Fermi level, states/eV per cell: 2.93
# Energy above the lowest structure with this stoichiometry, meV/atom: 142
# Theoretical density, g/cm3: 11.50
# E_form, eV/f.u.: -0.22
# E, eV/f.u.: -23.86
data_ReNiP
_chemical_formula_sum 'Re2 Ni2 P2'
_cell_length_a 2.954
_cell_length_b 3.183
_cell_length_c 8.473
_cell_angle_alpha 90.00
_cell_angle_beta 90.00
_cell_angle_gamma 90.00
_space_group_name_H-M_alt 'A m m 2'
_space_group_IT_number 38
loop_
_space_group_symop_operation_xyz
'x,y,z'
'-x,-y,z'
'-x,y,z'
'x,-y,z'
'x,y+1/2,z+1/2'
'-x,-y+1/2,z+1/2'
'-x,y+1/2,z+1/2'
'x,-y+1/2,z+1/2'
loop_
_atom_site_label
_atom_site_fract_x
_atom_site_fract_y
_atom_site_fract_z
_atom_site_occupancy
Re1 0.000 0.000 0.000 1
Ni1 0.500 0.000 0.290 1
P1 0.500 0.000 0.617 1

---

No. 5
# MgBC PBE-GGA optimized geometry
# Density of states at the Fermi level, states/eV per cell: 0.80
# Energy above the lowest structure with this stoichiometry, meV/atom: 151
# Theoretical density, g/cm3: 2.43
# E_form, eV/f.u.: 0.51
# E, eV/f.u.: -16.99
data_MgBC
_chemical_formula_sum 'Mg1 B1 C1'
_cell_length_a 3.314
_cell_length_b 3.314
_cell_length_c 2.930
_cell_angle_alpha 90.00
_cell_angle_beta 90.00
_cell_angle_gamma 90.00
_space_group_name_H-M_alt 'P 4/m m m'
_space_group_IT_number 123
_space_group_name_Hall '-P 4 2'
loop_
_atom_site_label
_atom_site_fract_x
_atom_site_fract_y
_atom_site_fract_z
_atom_site_occupancy
Mg1 0.000 0.000 0.000 1
B1 0.500 0.500 0.500 1
C1 0.500 0.500 0.000 1

---

No. 6
# DyGeRh PBE-GGA optimized geometry
# Density of states at the Fermi level, states/eV per cell: 6.65
# Theoretical density, g/cm3: 9.89
# E_form, eV/f.u.: -2.96
# E, eV/f.u.: -19.53
data_DyGeRh
_chemical_formula_sum 'Dy4 Ge4 Rh4'
_cell_length_a 6.945
_cell_length_b 4.333
_cell_length_c 7.543
_cell_angle_alpha 90.00
_cell_angle_beta 90.00
_cell_angle_gamma 90.00
_space_group_name_H-M_alt 'P n m a'
_space_group_IT_number 62
loop_
_space_group_symop_operation_xyz
'x,y,z'
'-x,-y,-z'
'-x+1/2,-y,z+1/2'
'x+1/2,y,-z+1/2'
'x+1/2,-y+1/2,-z+1/2'
'-x+1/2,y+1/2,z+1/2'
'-x,y+1/2,-z'
'x,-y+1/2,z'
loop_
_atom_site_label
_atom_site_fract_x
_atom_site_fract_y
_atom_site_fract_z
_atom_site_occupancy
Dy1 0.000 0.250 0.195 1
Ge1 0.210 0.250 0.604 1
Rh1 0.157 0.750 0.431 1

---

No. 7
# BaMg2Pt PBE-GGA optimized geometry
# Density of states at the Fermi level, states/eV per cell: 4.67
# Theoretical density, g/cm3: 5.56
# E_form, eV/f.u.: -1.83
# E, eV/f.u.: -12.99
data_BaMg2Pt
_chemical_formula_sum 'Ba2 Mg4 Pt2'
_cell_length_a 8.019
_cell_length_b 4.620
_cell_length_c 6.690
_cell_angle_alpha 90.00
_cell_angle_beta 113.28
_cell_angle_gamma 90.00
_space_group_name_H-M_alt 'C 1 2/m 1'
_space_group_IT_number 12
loop_
_space_group_symop_operation_xyz
'x,y,z'
'-x,-y,-z'
'-x,y,-z'
'x,-y,z'
'x+1/2,y+1/2,z'
'-x+1/2,-y+1/2,-z'
'-x+1/2,y+1/2,-z'
'x+1/2,-y+1/2,z'
loop_
_atom_site_label
_atom_site_fract_x
_atom_site_fract_y
_atom_site_fract_z
_atom_site_occupancy
Ba1 0.000 0.000 0.000 1
Mg1 0.198 0.000 0.594 1
Pt1 0.000 0.500 0.500 1

---

No. 8
# Sb2HRh PBE-GGA optimized geometry
# Density of states at the Fermi level, states/eV per cell: 5.59
# Energy above the lowest structure with this stoichiometry, meV/atom: 0
# Theoretical density, g/cm3: 8.64
# E, eV/f.u.: -18.51
data_Sb2HRh
_chemical_formula_sum 'Sb8 H4 Rh4'
_cell_length_a 6.441
_cell_length_b 6.441
_cell_length_c 6.441
_cell_angle_alpha 90.00
_cell_angle_beta 90.00
_cell_angle_gamma 90.00
_space_group_name_H-M_alt 'F m -3 m'
_space_group_IT_number 225
_space_group_name_Hall '-F 4 2 3'
loop_
_atom_site_label
_atom_site_fract_x
_atom_site_fract_y
_atom_site_fract_z
_atom_site_occupancy
Sb1 0.250 0.250 0.250 1
H1 0.000 0.000 0.000 1
Rh1 0.000 0.000 0.500 1

---

No. 9
# TlBiMo2Cl PBE-GGA optimized geometry
# Density of states at the Fermi level, states/eV per cell: 4.00
# Energy above the lowest structure with this stoichiometry, meV/atom: 379
# Theoretical density, g/cm3: 6.97
# E, eV/f.u.: -21.31
data_TlBiMo2Cl
_chemical_formula_sum 'Tl1 Bi1 Mo2 Cl1'
_cell_length_a 5.406
_cell_length_b 5.406
_cell_length_c 5.221
_cell_angle_alpha 90.00
_cell_angle_beta 90.00
_cell_angle_gamma 90.00
_space_group_name_H-M_alt 'P 4/m m m'
_space_group_IT_number 123
_space_group_name_Hall '-P 4 2'
loop_
_atom_site_label
_atom_site_fract_x
_atom_site_fract_y
_atom_site_fract_z
_atom_site_occupancy
Tl1 0.000 0.000 0.000 1
Bi1 0.500 0.500 0.500 1
Mo1 0.000 0.500 0.000 1
Cl1 0.000 0.000 0.500 1

---

No. 10
# ReP2C PBE-GGA optimized geometry
# Density of states at the Fermi level, states/eV per cell: 6.15
# Theoretical density, g/cm3: 8.07
# E_form, eV/f.u.: 1.71
# E, eV/f.u.: -30.78
data_ReP2C
_chemical_formula_sum 'Re4 P8 C4'
_cell_length_a 5.137
_cell_length_b 5.137
_cell_length_c 8.119
_cell_angle_alpha 90.00
_cell_angle_beta 90.00
_cell_angle_gamma 90.00
_space_group_name_H-M_alt 'I -4 2 d'
_space_group_IT_number 122
_space_group_name_Hall 'I -4 2bw'
loop_
_atom_site_label
_atom_site_fract_x
_atom_site_fract_y
_atom_site_fract_z
_atom_site_occupancy
Re1 0.000 0.000 0.000 1
P1 0.178 0.250 0.625 1
C1 0.000 0.000 0.500 1

---

No. 11
# MoSe5 PBE-GGA optimized geometry
# Density of states at the Fermi level, states/eV per cell: 4.94
# Energy above the lowest structure with this stoichiometry, meV/atom: 198
# Theoretical density, g/cm3: 5.59
# E, eV/f.u.: -27.07
data_MoSe5
_chemical_formula_sum 'Mo1 Se5'
_cell_length_a 7.4389
_cell_length_b 7.4389
_cell_length_c 3.0426
_cell_angle_alpha 90.00
_cell_angle_beta 90.00
_cell_angle_gamma 120.00
_space_group_name_H-M_alt 'P -6 2 m'
_space_group_IT_number 189
_space_group_name_Hall 'P -6 -2'
loop_
_atom_site_label
_atom_site_fract_x
_atom_site_fract_y
_atom_site_fract_z
_atom_site_occupancy
Mo1 0.0000 0.0000 0.0000 1
Se1 0.0000 0.7300 0.5000 1
Se2 0.3333 0.6667 0.0000 1

---

No. 12
# MnTe2Pt PBE-GGA optimized geometry
# Density of states at the Fermi level, states/eV per cell: 1.86
# Energy above the lowest structure with this stoichiometry, meV/atom: 95
# Theoretical density, g/cm3: 8.88
# E, eV/f.u.: -22.07
data_MnTe2Pt
_chemical_formula_sum 'Mn1 Te2 Pt1'
_cell_length_a 3.626
_cell_length_b 3.626
_cell_length_c 7.187
_cell_angle_alpha 90.00
_cell_angle_beta 90.00
_cell_angle_gamma 90.00
_space_group_name_H-M_alt 'P 4 m m'
_space_group_IT_number 99
loop_
_space_group_symop_operation_xyz
'x,y,z'
'-y,x,z'
'-x,-y,z'
'y,-x,z'
'-x,y,z'
'y,x,z'
'x,-y,z'
'-y,-x,z'
loop_
_atom_site_label
_atom_site_fract_x
_atom_site_fract_y
_atom_site_fract_z
_atom_site_occupancy
Mn1 0.000 0.000 0.000 1
Te1 0.000 0.000 0.361 1
Te2 0.500 0.500 0.823 1
Pt1 0.500 0.500 0.194 1

---

No. 13
# Co2AgSe PBE-GGA optimized geometry
# Density of states at the Fermi level, states/eV per cell: 7.94
# Theoretical density, g/cm3: 7.91
# E, eV/f.u.: -19.31
data_Co2AgSe
_chemical_formula_sum 'Co4 Ag2 Se2'
_cell_length_a 8.121
_cell_length_b 2.976
_cell_length_c 5.353
_cell_angle_alpha 90.00
_cell_angle_beta 98.69
_cell_angle_gamma 90.00
_space_group_name_H-M_alt 'C 1 m 1'
_space_group_IT_number 8
loop_
_space_group_symop_operation_xyz
'x,y,z'
'x,-y,z'
'x+1/2,y+1/2,z'
'x+1/2,-y+1/2,z'
loop_
_atom_site_label
_atom_site_fract_x
_atom_site_fract_y
_atom_site_fract_z
_atom_site_occupancy
Co1 0.000 0.000 0.000 1
Co2 0.230 0.500 0.135 1
Ag1 0.487 0.000 0.432 1
Se1 0.275 0.000 0.804 1

---

No. 14
# Zr3AgPb PBE-GGA optimized geometry
# Density of states at the Fermi level, states/eV per cell: 4.73
# Energy above the lowest structure with this stoichiometry, meV/atom: 0
# Theoretical density, g/cm3: 7.11
# E_form, eV/f.u.: 3.36
# E, eV/f.u.: -28.84
data_Zr3AgPb
_chemical_formula_sum 'Zr3 Ag1 Pb1'
_cell_length_a 5.161
_cell_length_b 5.161
_cell_length_c 5.161
_cell_angle_alpha 90.00
_cell_angle_beta 90.00
_cell_angle_gamma 90.00
_space_group_name_H-M_alt 'P m -3 m'
_space_group_IT_number 221
_space_group_name_Hall '-P 4 2 3'
loop_
_atom_site_label
_atom_site_fract_x
_atom_site_fract_y
_atom_site_fract_z
_atom_site_occupancy
Zr1 0.000 0.000 0.500 1
Ag1 0.000 0.000 0.000 1
Pb1 0.500 0.500 0.500 1

---

No. 15
# Th6BiSb2Te3 PBE-GGA optimized geometry
# Density of states at the Fermi level, states/eV per cell: 21.35
# Theoretical density, g/cm3: 9.55
# E, eV/f.u.: -76.98
data_Th6BiSb2Te3
_chemical_formula_sum 'Th12 Bi2 Sb4 Te6'
_cell_length_a 19.525
_cell_length_b 4.572
_cell_length_c 8.866
_cell_angle_alpha 90.00
_cell_angle_beta 101.86
_cell_angle_gamma 90.00
_space_group_name_H-M_alt 'C 1 2/m 1'
_space_group_IT_number 12
loop_
_space_group_symop_operation_xyz
'x,y,z'
'-x,-y,-z'
'-x,y,-z'
'x,-y,z'
'x+1/2,y+1/2,z'
'-x+1/2,-y+1/2,-z'
'-x+1/2,y+1/2,-z'
'x+1/2,-y+1/2,z'
loop_
_atom_site_label
_atom_site_fract_x
_atom_site_fract_y
_atom_site_fract_z
_atom_site_occupancy
Th1 0.002 0.000 0.259 1
Th2 0.167 0.500 0.581 1
Th3 0.171 0.500 0.086 1
Bi1 0.000 0.500 0.000 1
Sb1 0.168 0.000 0.333 1
Te1 0.000 0.500 0.500 1
Te2 0.164 0.000 0.832 1

---

No. 16
# Ta2GeN PBE-GGA optimized geometry
# Density of states at the Fermi level, states/eV per cell: 7.46
# Energy above the lowest structure with this stoichiometry, meV/atom: 779
# Theoretical density, g/cm3: 13.22
# E, eV/f.u.: -35.24
data_Ta2GeN
_chemical_formula_sum 'Ta8 Ge4 N4'
_cell_length_a 6.086
_cell_length_b 6.086
_cell_length_c 6.086
_cell_angle_alpha 90.00
_cell_angle_beta 90.00
_cell_angle_gamma 90.00
_space_group_name_H-M_alt 'F m -3 m'
_space_group_IT_number 225
_space_group_name_Hall '-F 4 2 3'
loop_
_atom_site_label
_atom_site_fract_x
_atom_site_fract_y
_atom_site_fract_z
_atom_site_occupancy
Ta1 0.250 0.250 0.250 1
Ge1 0.000 0.000 0.000 1
N1 0.000 0.000 0.500 1

---

No. 17
# KNa2Rh2 PBE-GGA optimized geometry
# Density of states at the Fermi level, states/eV per cell: 13.02
# Energy above the lowest structure with this stoichiometry, meV/atom: 0
# Theoretical density, g/cm3: 3.12
# E_form, eV/f.u.: 1.92
# E, eV/f.u.: -16.52
data_KNa2Rh2
_chemical_formula_sum 'K2 Na4 Rh4'
_cell_length_a 3.582
_cell_length_b 3.582
_cell_length_c 24.139
_cell_angle_alpha 90.00
_cell_angle_beta 90.00
_cell_angle_gamma 90.00
_space_group_name_H-M_alt 'I 4/m m m'
_space_group_IT_number 139
_space_group_name_Hall '-I 4 2'
loop_
_atom_site_label
_atom_site_fract_x
_atom_site_fract_y
_atom_site_fract_z
_atom_site_occupancy
K1 0.000 0.000 0.000 1
Na1 0.000 0.000 0.351 1
Rh1 0.000 0.500 0.250 1

---

No. 18
# CaCrAu PBE-GGA optimized geometry
# Density of states at the Fermi level, states/eV per cell: 2.00
# Energy above the lowest structure with this stoichiometry, meV/atom: 0
# Theoretical density, g/cm3: 6.71
# E_form, eV/f.u.: 0.00
# E, eV/f.u.: -14.90
data_CaCrAu
_chemical_formula_sum 'Ca1 Cr1 Au1'
_cell_length_a 4.6262
_cell_length_b 4.6262
_cell_length_c 3.8593
_cell_angle_alpha 90.00
_cell_angle_beta 90.00
_cell_angle_gamma 120.00
_space_group_name_H-M_alt 'P -6 m 2'
_space_group_IT_number 187
_space_group_name_Hall 'P -6 2'
loop_
_atom_site_label
_atom_site_fract_x
_atom_site_fract_y
_atom_site_fract_z
_atom_site_occupancy
Ca1 0.0000 0.0000 0.0000 1
Cr1 0.6667 0.3333 0.5000 1
Au1 0.3333 0.6667 0.5000 1

---

No. 19
# ZnSiAg2 PBE-GGA optimized geometry
# Density of states at the Fermi level, states/eV per cell: 5.60
# Energy above the lowest structure with this stoichiometry, meV/atom: 247
# Theoretical density, g/cm3: 6.95
# E, eV/f.u.: -10.90
data_ZnSiAg2
_chemical_formula_sum 'Zn4 Si4 Ag8'
_cell_length_a 7.394
_cell_length_b 7.394
_cell_length_c 5.408
_cell_angle_alpha 90.00
_cell_angle_beta 90.00
_cell_angle_gamma 90.00
_space_group_name_H-M_alt 'I -4 2 d'
_space_group_IT_number 122
_space_group_name_Hall 'I -4 2bw'
loop_
_atom_site_label
_atom_site_fract_x
_atom_site_fract_y
_atom_site_fract_z
_atom_site_occupancy
Zn1 0.000 0.000 0.000 1
Si1 0.000 0.000 0.500 1
Ag1 0.231 0.750 0.625 1

---

No. 20
# LaPrRu PBE-GGA optimized geometry
# Density of states at the Fermi level, states/eV per cell: 1.08
# Energy above the lowest structure with this stoichiometry, meV/atom: 36
# Theoretical density, g/cm3: 6.57
# E_form, eV/f.u.: -0.49
# E, eV/f.u.: -19.47
data_LaPrRu
_chemical_formula_sum 'La1 Pr1 Ru1'
_cell_length_a 4.1661
_cell_length_b 4.1661
_cell_length_c 6.4069
_cell_angle_alpha 90.00
_cell_angle_beta 90.00
_cell_angle_gamma 120.00
_space_group_name_H-M_alt 'P 3 m 1'
_space_group_IT_number 156
loop_
_space_group_symop_operation_xyz
'x,y,z'
'-y,x-y,z'
'-x+y,-x,z'
'-y,-x,z'
'-x+y,y,z'
'x,x-y,z'
loop_
_atom_site_label
_atom_site_fract_x
_atom_site_fract_y
_atom_site_fract_z
_atom_site_occupancy
La1 0.0000 0.0000 0.0000 1
Pr1 0.3333 0.6667 0.5333 1
Ru1 0.6667 0.3333 0.7782 1